1.
Density functional theory data (PBE) for a relaxed SmErInAu crystal.

offset from the most stable computed form = 70 meV per atom
size of the total moment = 0.0 μB/cell
total DFT energy (no corrections) = -4.4197 eV/atom
calculated formation energy = -0.595 eV per atom

a b c (Å): 5.2575 5.2575 5.2575
angles (deg): 60.00 60.00 60.00
With the nearest neighbours (Å) after each atom.
Element x y z (fractional)
1 Sm 0.0000 0.0000 0.0000  4 Au 3.22, 4 In 3.22
2 Er 0.5000 0.5000 0.5000  4 Au 3.22, 4 In 3.22
3 In 0.2500 0.2500 0.2500  4 Er 3.22, 4 Sm 3.22
4 Au 0.7500 0.7500 0.7500  4 Er 3.22, 4 Sm 3.22

---

2.
Density functional theory data (PBE) for a relaxed SmEr2InAu4 crystal.

size of the total moment = 0.0 μB/cell
total DFT energy (no corrections) = -4.4740 eV/atom
calculated formation energy = -0.762 eV per atom

a b c (Å): 8.8316 8.8316 8.8316
angles (deg): 32.99 32.99 32.99
With the nearest neighbours (Å) after each atom.
Element x y z (fractional)
1 Sm 0.0000 0.0000 0.0000  8 Au 3.01-3.03
2 Er 0.2422 0.2422 0.2422  8 Au 2.99-3.21
3 Er 0.7578 0.7578 0.7578  8 Au 2.99-3.21
4 In 0.5000 0.5000 0.5000  8 Au 3.12-3.28, 6 Er 3.46
5 Au 0.1204 0.1204 0.1204  4 Er 2.99-3.05, 1 Sm 3.01, 3 In 3.12
6 Au 0.3689 0.3689 0.3689  3 Sm 3.03, 4 Er 3.17-3.21, 1 In 3.28
7 Au 0.6311 0.6311 0.6311  3 Sm 3.03, 4 Er 3.17-3.21, 1 In 3.28
8 Au 0.8796 0.8796 0.8796  4 Er 2.99-3.05, 1 Sm 3.01, 3 In 3.12

---

3.
Density functional theory data (PBE) for a relaxed SmErInAu crystal.

offset from the most stable computed form = 0 meV per atom
size of the total moment = 0.0 μB/cell
total DFT energy (no corrections) = -4.4896 eV/atom
calculated formation energy = -0.665 eV per atom

a b c (Å): 3.6252 3.6252 7.7539
angles (deg): 90.00 90.00 90.00
With the nearest neighbours (Å) after each atom.
Element x y z (fractional)
1 Sm 0.0000 0.0000 0.0000  4 Au 3.26, 4 In 3.33, 1 Er 3.59, 4 Sm 3.63
2 Er 0.0000 0.0000 0.5372  4 Au 3.01, 4 In 3.27
3 In 0.5000 0.5000 0.2745  4 Er 3.27, 4 Sm 3.33, 1 Au 3.62, 4 In 3.63
4 Au 0.5000 0.5000 0.7412  4 Er 3.01, 4 Sm 3.26

---

4.
Density functional theory data (PBE) for a relaxed ErInSnAu crystal.

size of the total moment = 0.0 μB/cell
total DFT energy (no corrections) = -3.9951 eV/atom
calculated formation energy = -0.350 eV per atom

a b c (Å): 5.1226 5.1226 5.1226
angles (deg): 60.00 60.00 60.00
With the nearest neighbours (Å) after each atom.
Element x y z (fractional)
1 Er 0.0000 0.0000 0.0000  4 Sn 3.14, 4 Au 3.14
2 In 0.5000 0.5000 0.5000  4 Sn 3.14, 4 Au 3.14
3 Sn 0.7500 0.7500 0.7500  4 In 3.14, 4 Er 3.14
4 Au 0.2500 0.2500 0.2500  4 In 3.14, 4 Er 3.14

---

5.
Density functional theory data (PBE) for a relaxed Sr2ErInAu6 crystal.

size of the total moment = 0.0 μB/cell
total DFT energy (no corrections) = -3.2983 eV/atom
calculated formation energy = -0.265 eV per atom

a b c (Å): 7.6110 7.6110 7.6110
angles (deg): 60.00 60.00 60.00
With the nearest neighbours (Å) after each atom.
Element x y z (fractional)
1 Sr 0.2500 0.2500 0.2500  12 Au 3.81
2 Sr 0.7500 0.7500 0.7500  12 Au 3.81
3 Er 0.0000 0.0000 0.0000  6 Au 2.72
4 In 0.5000 0.5000 0.5000  6 Au 2.66
5 Au 0.2524 0.2524 0.7476  1 In 2.66, 1 Er 2.72
6 Au 0.2524 0.7476 0.2524  1 In 2.66, 1 Er 2.72
7 Au 0.2524 0.7476 0.7476  1 In 2.66, 1 Er 2.72
8 Au 0.7476 0.2524 0.2524  1 In 2.66, 1 Er 2.72
9 Au 0.7476 0.2524 0.7476  1 In 2.66, 1 Er 2.72
10 Au 0.7476 0.7476 0.2524  1 In 2.66, 1 Er 2.72

---

6.
Density functional theory data (PBE) for a relaxed ErThInAu crystal.

size of the total moment = 0.9 μB/cell
total DFT energy (no corrections) = -4.9451 eV/atom
calculated formation energy = -0.445 eV per atom

a b c (Å): 5.2996 5.2996 5.2996
angles (deg): 60.00 60.00 60.00
With the nearest neighbours (Å) after each atom.
Element x y z (fractional)
1 Er 0.0000 0.0000 0.0000  4 In 3.25, 4 Au 3.25
2 Th 0.5000 0.5000 0.5000  4 In 3.25, 4 Au 3.25
3 In 0.7500 0.7500 0.7500  4 Th 3.25, 4 Er 3.25
4 Au 0.2500 0.2500 0.2500  4 Th 3.25, 4 Er 3.25